An optimized crystal structure of Co2TcHg. Source: the Open Quantum Materials Database, functional PBE-GGA.

Cell and atoms, written as CIF:
```
data_Co2TcHg
_symmetry_space_group_name_H-M 'F -4 3 m'
_symmetry_Int_Tables_number 216
_symmetry_space_group_name_Hall 'F -4 2 3'
_cell_length_a 6.185
_cell_length_b 6.185
_cell_length_c 6.185
_cell_angle_alpha 90.00
_cell_angle_beta 90.00
_cell_angle_gamma 90.00
loop_
_atom_site_label
_atom_site_fract_x
_atom_site_fract_y
_atom_site_fract_z
Co1 0.000 0.000 0.000
Co2 0.250 0.250 0.250
Tc1 0.250 0.250 0.750
Hg1 0.000 0.000 0.500
```

Values from the calculation:
DFT formation energy   263 kJ/mol of formula units
Mass density   11.69 Mg/m³
Calculated total energy   -5.5358 eV per atom
V   14.79 A^3/atom